Computed, not measured: a relaxed Ho2ThZr3N6 crystal at the PBE level of DFT.

Space-group type ... C2/m (12)
Total magnetic moment ... 0.000 Bohr magnetons per cell
DFT total energy ... -9.355 eV per atom
Raw formation energy ... -38.60 kcal/mol of atoms

Cell: 5.847 5.847 5.905 Å, 99.43 99.43 120.11°
Fractional positions:
Ho (0.167, 0.833, 0.000)
Ho (0.833, 0.167, 0.000)
Th (0.500, 0.500, 0.000)
Zr (0.000, 0.000, 0.500)
Zr (0.330, 0.670, 0.500)
Zr (0.670, 0.330, 0.500)
N (0.073, 0.411, 0.732)
N (0.251, 0.251, 0.266)
N (0.411, 0.073, 0.732)
N (0.589, 0.927, 0.268)
N (0.749, 0.749, 0.734)
N (0.927, 0.589, 0.268)